First-principles (GGA-PBE) data for crystalline CrIrPd at its relaxed geometry, as listed in Alexandria via LeMat-Bulk. Values from VASP.

Quantum ESPRESSO input file:
```
&SYSTEM
  ibrav = 0, nat = 3, ntyp = 3
/
ATOMIC_SPECIES
Cr 52.00 Cr.upf
Ir 192.22 Ir.upf
Pd 106.42 Pd.upf
ATOMIC_POSITIONS crystal
Cr 0.6738 0.6738 0.3477
Ir 0.3189 0.3189 0.6378
Pd 0.0072 0.0072 0.0145
CELL_PARAMETERS angstrom
-0.6706 -0.1362 2.6272
2.6252 -0.2106 0.6592
-0.6205 5.8226 -1.2592
```

As for the energy of formation from the pure elements: -0.064 eV/atom. The calculated total energy comes out at -7.96 eV per atom. As for the volume: 41.8 Å³ per cell. The symmetry is No. 107. For the energy above the lowest structure with this stoichiometry, the calculation gives 0 meV per atom.

First-principles (GGA-PBE) data for crystalline SrHgPd3 at its relaxed geometry, as listed in Alexandria via LeMat-Bulk. Values from VASP.

Quantum ESPRESSO input file:
```
&SYSTEM
  ibrav = 0, nat = 10, ntyp = 3
/
ATOMIC_SPECIES
Pd 106.42 Pd.upf
Sr 87.62 Sr.upf
Hg 200.59 Hg.upf
ATOMIC_POSITIONS crystal
Pd 0.6942 0.6942 0.8884
Sr 0.7500 0.7482 0.5000
Pd 0.8058 0.3058 0.1116
Pd 0.1942 0.6942 0.8884
Pd 0.3058 0.3058 0.1116
Hg 0.0000 0.5000 0.0000
Pd 0.2500 0.9503 0.5000
Hg 0.5000 0.0000 0.0000
Pd 0.7500 0.0497 0.5000
Sr 0.2500 0.2518 0.5000
CELL_PARAMETERS angstrom
-3.5599 3.6885 2.1517
-6.5349 -2.3418 -6.7975
3.5956 -3.4460 4.6739
```

As for the energy of formation from the pure elements: -0.411 eV/atom. The calculated total energy comes out at -3.92 eV per atom. As for the volume: 211.4 Å³ per cell. The symmetry is No. 74. For the energy above the lowest structure with this stoichiometry, the calculation gives 0 meV per atom.